First-principles (PBE) data for a geometry-optimized Pa3Ga3CoTc2 structure, as listed in the Alexandria database.

Output
Crystal system: hexagonal
Calculated total energy in eV/atom: -7.739
Density in g/cm3: 11.57
Magnetization in μB/atom: 0.00

```
Pa3Ga3CoTc2
1.0
6.938 0.000 0.000
-3.469 6.008 0.000
0.000 0.000 3.983
Pa Ga Co Tc
3 3 1 2
Cartesian
-2.028 3.512 0.000
1.441 2.496 0.000
4.056 0.000 0.000
-0.798 1.382 1.992
1.596 0.000 1.992
2.671 4.626 1.992
0.000 0.000 0.000
0.000 4.006 1.992
3.469 2.003 1.992
```